(P)
Na3CaHg: optimized geometry, PBE.

Cell: 6.8209 6.8209 6.8209 Å, 90.00 90.00 90.00°
Fractional positions:
Na1 0.5000 0.0000 0.0000
Na2 0.0000 0.5000 0.0000
Na3 0.0000 0.0000 0.5000
Ca1 0.0000 0.0000 0.0000
Hg1 0.5000 0.5000 0.5000

## Properties
**N(E_F)**: 4.09 states/eV/f.u.
**Space-group type**: No. 221
**Density**: 1.620 g/cm3


(Q)
Na3CaHg: optimized geometry, PBE.

Cell: 5.7810 5.7810 5.7810 Å, 90.00 90.00 90.00°
Fractional positions:
Na1 0.5000 0.0000 0.0000
Na2 0.0000 0.5000 0.0000
Na3 0.0000 0.0000 0.5000
Hg1 0.0000 0.0000 0.0000
Ca1 0.5000 0.5000 0.5000

## Properties
**N(E_F)**: 3.07 states/eV/f.u.
**Space-group type**: No. 221
**Density**: 2.661 g/cm3


(Q) comes first in stability; the runner-up is 41.3 kJ/mol of atoms higher.


(P)
Na4CaHg2: optimized geometry, PBE.

Cell: 4.8757 4.3169 10.3833 Å, 102.00 90.00 90.00°
Fractional positions:
Hg1 0.5000 0.5710 0.1421
Hg2 0.5000 0.4290 0.8579
Na1 0.0000 0.6679 0.3358
Na2 0.5000 0.8199 0.6399
Na3 0.0000 0.3321 0.6642
Na4 0.5000 0.1801 0.3601
Ca1 0.0000 0.0000 0.0000

## Properties
**N(E_F)**: 2.93 states/eV/f.u.
**Space-group type**: No. 65
**Density**: 4.142 g/cm3


(Q)
Na4CaHg2: optimized geometry, PBE.

Cell: 3.8469 5.1112 11.0067 Å, 103.43 90.00 90.00°
Fractional positions:
Na1 0.0000 0.6910 0.3821
Na2 0.0000 0.3090 0.6179
Na3 0.5000 0.8464 0.6928
Na4 0.5000 0.1536 0.3072
Hg1 0.5000 0.5688 0.1376
Hg2 0.5000 0.4312 0.8624
Ca1 0.0000 0.0000 0.0000

## Properties
**N(E_F)**: 3.04 states/eV/f.u.
**Space-group type**: No. 65
**Density**: 4.206 g/cm3


(Q) comes first in stability; the runner-up is 0.6 kJ/mol of atoms higher.